[1]
Nd2Er2Th15 | PBE | optimized geometry

a b c (Å): 8.7590 8.7590 8.7590
angles (deg): 81.91 81.91 81.91
Closest atoms and distances in Å follow each position.
Sites, in units of the cell vectors:
Nd  0.1735  0.1735  0.1735  1 Er 3.90, 15 Th 4.06-4.30
Nd  0.8265  0.8265  0.8265  1 Er 3.90, 15 Th 4.06-4.30
Er  0.4009  0.4009  0.4009  1 Er 3.40, 12 Th 3.51-3.81
Er  0.5991  0.5991  0.5991  1 Er 3.40, 12 Th 3.51-3.81
Th  0.0000  0.5000  0.5000  8 Th 3.35-3.37, 2 Er 3.51
Th  0.1468  0.1468  0.6615  8 Th 3.26-3.58
Th  0.1468  0.6615  0.1468  8 Th 3.26-3.58
Th  0.2033  0.5000  0.7967  8 Th 3.35-3.58
Th  0.2033  0.7967  0.5000  8 Th 3.35-3.58
Th  0.3385  0.8532  0.8532  8 Th 3.26-3.58
Th  0.5000  0.0000  0.5000  8 Th 3.35-3.37, 2 Er 3.51
Th  0.5000  0.2033  0.7967  8 Th 3.35-3.58
Th  0.5000  0.5000  0.0000  8 Th 3.35-3.37, 2 Er 3.51
Th  0.5000  0.7967  0.2033  8 Th 3.35-3.58
Th  0.6615  0.1468  0.1468  8 Th 3.26-3.58
Th  0.7967  0.2033  0.5000  8 Th 3.35-3.58
Th  0.7967  0.5000  0.2033  8 Th 3.35-3.58
Th  0.8532  0.3385  0.8532  8 Th 3.26-3.58
Th  0.8532  0.8532  0.3385  8 Th 3.26-3.58

Energy of formation from the pure elements, meV per atom: 270.9
Calculated density, g/cm3: 10.425
Calculated total energy, eV per cell: -124.81
Calculated volume, Å³ per atom: 34.4



[2]
Nd2Er4Th | PBE | optimized geometry

a b c (Å): 5.6857 5.6857 16.9324
angles (deg): 90.00 90.00 90.00
Closest atoms and distances in Å follow each position.
Sites, in units of the cell vectors:
Nd  0.0000  0.0000  0.1168  5 Er 3.45-3.46
Nd  0.0000  0.0000  0.8832  5 Er 3.45-3.46
Nd  0.5000  0.5000  0.3832  5 Er 3.45-3.46
Nd  0.5000  0.5000  0.6168  5 Er 3.45-3.46
Er  0.0000  0.0000  0.3207  1 Th 3.04
Er  0.0000  0.0000  0.6793  1 Th 3.04
Er  0.0000  0.5000  0.0000  2 Th 2.84
Er  0.0000  0.5000  0.5000  2 Th 2.84
Er  0.5000  0.0000  0.0000  2 Th 2.84
Er  0.5000  0.0000  0.5000  2 Th 2.84
Er  0.5000  0.5000  0.1793  1 Th 3.04
Er  0.5000  0.5000  0.8207  1 Th 3.04
Th  0.0000  0.0000  0.5000  6 Er 2.84-3.04
Th  0.5000  0.5000  0.0000  6 Er 2.84-3.04

Energy of formation from the pure elements, meV per atom: 756.0
Calculated density, g/cm3: 7.217
Excess energy over the best structure of this formula in the dataset, kJ/mol of atoms: 70.3
Calculated total energy, eV per cell: -59.83
Calculated volume, Å³ per atom: 39.1



[3]
NdEr2Th2 | PBE | optimized geometry

a b c (Å): 3.5652 3.5652 14.6170
angles (deg): 90.00 90.00 120.00
Closest atoms and distances in Å follow each position.
Sites, in units of the cell vectors:
Nd  0.0000  0.0000  0.0000  6 Nd 3.57, 6 Er 3.58
Er  0.3333  0.6667  0.7995  6 Er 3.57, 3 Th 3.58, 3 Nd 3.58
Er  0.6667  0.3333  0.2005  6 Er 3.57, 3 Th 3.58, 3 Nd 3.58
Th  0.3333  0.6667  0.4007  9 Th 3.56-3.57, 3 Er 3.58
Th  0.6667  0.3333  0.5993  9 Th 3.56-3.57, 3 Er 3.58

Energy of formation from the pure elements, meV per atom: 32.7
Calculated density, g/cm3: 9.731
Excess energy over the best structure of this formula in the dataset, kJ/mol of atoms: 1.6
Calculated total energy, eV per cell: -28.57
Calculated volume, Å³ per atom: 32.2



[4]
NdEr2Th | PBE | optimized geometry

a b c (Å): 3.5800 3.5800 34.5396
angles (deg): 90.00 90.00 120.00
Closest atoms and distances in Å follow each position.
Sites, in units of the cell vectors:
Nd  0.0000  0.0000  0.0000  6 Nd 3.58, 6 Er 3.61
Nd  0.3333  0.6667  0.6667  6 Nd 3.58, 6 Er 3.61
Nd  0.6667  0.3333  0.3333  6 Nd 3.58, 6 Er 3.61
Er  0.0000  0.0000  0.2477  3 Th 3.48, 6 Er 3.58, 3 Nd 3.61
Er  0.0000  0.0000  0.7523  3 Th 3.48, 6 Er 3.58, 3 Nd 3.61
Er  0.3333  0.6667  0.4190  3 Th 3.48, 6 Er 3.58, 3 Nd 3.61
Er  0.3333  0.6667  0.9144  3 Th 3.48, 6 Er 3.58, 3 Nd 3.61
Er  0.6667  0.3333  0.0856  3 Th 3.48, 6 Er 3.58, 3 Nd 3.61
Er  0.6667  0.3333  0.5810  3 Th 3.48, 6 Er 3.58, 3 Nd 3.61
Th  0.0000  0.0000  0.5000  6 Er 3.48, 6 Th 3.58
Th  0.3333  0.6667  0.1667  6 Er 3.48, 6 Th 3.58
Th  0.6667  0.3333  0.8333  6 Er 3.48, 6 Th 3.58

Energy of formation from the pure elements, meV per atom: 15.3
Calculated density, g/cm3: 9.236
Excess energy over the best structure of this formula in the dataset, kJ/mol of atoms: 1.7
Calculated total energy, eV per cell: -63.76
Calculated volume, Å³ per atom: 31.9



[5]
NdEr2Th | PBE | optimized geometry

a b c (Å): 7.1878 9.9458 3.5802
angles (deg): 90.00 90.00 90.00
Closest atoms and distances in Å follow each position.
Sites, in units of the cell vectors:
Nd  0.0000  0.0000  0.0000  8 Er 3.55, 2 Nd 3.58, 2 Th 3.59
Nd  0.5000  0.5000  0.0000  8 Er 3.55, 2 Nd 3.58, 2 Th 3.59
Er  0.2500  0.2500  0.5000  4 Th 3.55, 4 Nd 3.55, 4 Er 3.58-3.59
Er  0.2500  0.7500  0.5000  4 Nd 3.55, 4 Th 3.55, 4 Er 3.58-3.59
Er  0.7500  0.2500  0.5000  4 Th 3.55, 4 Nd 3.55, 4 Er 3.58-3.59
Er  0.7500  0.7500  0.5000  4 Th 3.55, 4 Nd 3.55, 4 Er 3.58-3.59
Th  0.0000  0.5000  0.0000  8 Er 3.55, 2 Th 3.58, 2 Nd 3.59
Th  0.5000  0.0000  0.0000  8 Er 3.55, 2 Th 3.58, 2 Nd 3.59

Energy of formation from the pure elements, meV per atom: 26.8
Calculated density, g/cm3: 9.223
Excess energy over the best structure of this formula in the dataset, kJ/mol of atoms: 2.8
Calculated total energy, eV per cell: -42.41
Calculated volume, Å³ per atom: 32.0



[6]
Nd6Er5Th2 | PBE | optimized geometry

a b c (Å): 11.7376 20.5137 3.6366
angles (deg): 90.00 90.00 90.00
Closest atoms and distances in Å follow each position.
Sites, in units of the cell vectors:
Nd  0.0680  0.0723  0.0000  5 Nd 3.37-3.68, 6 Er 3.51-3.70
Nd  0.0764  0.3614  0.0000  1 Th 3.40, 6 Er 3.45-3.56, 4 Nd 3.50-3.64
Nd  0.1778  0.6280  0.5000  2 Er 3.33-3.35, 6 Nd 3.50-3.68, 2 Th 3.57
Nd  0.3222  0.1280  0.5000  2 Er 3.33-3.35, 6 Nd 3.50-3.68, 2 Th 3.57
Nd  0.4236  0.8614  0.0000  1 Th 3.40, 6 Er 3.45-3.56, 4 Nd 3.50-3.64
Nd  0.4320  0.5723  0.0000  5 Nd 3.37-3.68, 6 Er 3.51-3.70
Nd  0.5680  0.4277  0.0000  5 Nd 3.37-3.68, 6 Er 3.51-3.70
Nd  0.5764  0.1386  0.0000  1 Th 3.40, 6 Er 3.45-3.56, 4 Nd 3.50-3.64
Nd  0.6778  0.8720  0.5000  2 Er 3.33-3.35, 6 Nd 3.50-3.68, 2 Th 3.57
Nd  0.8222  0.3720  0.5000  2 Er 3.33-3.35, 6 Nd 3.50-3.68, 2 Th 3.57
Nd  0.9236  0.6386  0.0000  1 Th 3.40, 6 Er 3.45-3.56, 4 Nd 3.50-3.64
Nd  0.9320  0.9277  0.0000  5 Nd 3.37-3.68, 6 Er 3.51-3.70
Er  0.0000  0.5000  0.5000  6 Nd 3.35-3.49, 2 Er 3.64
Er  0.0869  0.2183  0.5000  5 Nd 3.33-3.51, 4 Th 3.55-3.57, 2 Er 3.64
Er  0.1946  0.9332  0.5000  6 Nd 3.56-3.70, 3 Er 3.64-3.84, 2 Th 3.68
Er  0.3054  0.4332  0.5000  6 Nd 3.56-3.70, 3 Er 3.64-3.84, 2 Th 3.68
Er  0.4131  0.7183  0.5000  5 Nd 3.33-3.51, 4 Th 3.55-3.57, 2 Er 3.64
Er  0.5000  0.0000  0.5000  6 Nd 3.35-3.49, 2 Er 3.64
Er  0.5869  0.2817  0.5000  5 Nd 3.33-3.51, 4 Th 3.55-3.57, 2 Er 3.64
Er  0.6946  0.5668  0.5000  6 Nd 3.56-3.70, 3 Er 3.64-3.84, 2 Th 3.68
Er  0.8054  0.0668  0.5000  6 Nd 3.56-3.70, 3 Er 3.64-3.84, 2 Th 3.68
Er  0.9131  0.7817  0.5000  5 Nd 3.33-3.51, 4 Th 3.55-3.57, 2 Er 3.64
Th  0.1731  0.7777  0.0000  3 Nd 3.40-3.57, 6 Er 3.55-3.68, 2 Th 3.64
Th  0.3269  0.2777  0.0000  3 Nd 3.40-3.57, 6 Er 3.55-3.68, 2 Th 3.64
Th  0.6731  0.7223  0.0000  3 Nd 3.40-3.57, 6 Er 3.55-3.68, 2 Th 3.64
Th  0.8269  0.2223  0.0000  3 Nd 3.40-3.57, 6 Er 3.55-3.68, 2 Th 3.64

Energy of formation from the pure elements, meV per atom: 124.1
Calculated density, g/cm3: 8.215
Calculated total energy, eV per cell: -129.29
Calculated volume, Å³ per atom: 33.7